[1]
## CsGaPbAu3 (GGA-PBE)

Data for a geometry-optimized CsGaPbAu3 structure.

Crystal system: monoclinic
E_tot, eV per atom: -3.15
Symmetry: P2_1/m
ρ, g/cm3: 9.01
Formation energy from the elements, eV/atom: -0.25

a b c (Å): 7.166 7.370 7.458
angles (deg): 90.00 110.55 90.00
Atoms (fractional coordinates):
Cs  0.234  0.250  0.498
Cs  0.766  0.750  0.502
Ga  0.127  0.750  0.138
Ga  0.873  0.250  0.862
Pb  0.419  0.750  0.902
Pb  0.581  0.250  0.098
Au  0.203  0.054  0.003
Au  0.203  0.446  0.003
Au  0.264  0.750  0.499
Au  0.736  0.250  0.501
Au  0.797  0.554  0.997
Au  0.797  0.946  0.997



[2]
## Pr3Te12As5 (GGA-PBE)

Data for a geometry-optimized Pr3Te12As5 structure.

Crystal system: cubic
E_tot, eV per atom: -4.21
Symmetry: Ia-3d
ρ, g/cm3: 5.56

a b c (Å): 15.347 15.347 15.347
angles (deg): 109.47 109.47 109.47
Atoms (fractional coordinates):
Pr  0.125  0.250  0.375
Pr  0.125  0.375  0.750
Pr  0.250  0.375  0.125
Pr  0.250  0.875  0.625
Pr  0.375  0.125  0.250
Pr  0.375  0.750  0.125
Pr  0.625  0.250  0.875
Pr  0.625  0.875  0.750
Pr  0.750  0.125  0.375
Pr  0.750  0.625  0.875
Pr  0.875  0.625  0.250
Pr  0.875  0.750  0.625
Te  0.040  0.212  0.129
Te  0.040  0.329  0.912
Te  0.083  0.712  0.671
Te  0.083  0.871  0.412
Te  0.088  0.629  0.417
Te  0.088  0.960  0.671
Te  0.129  0.040  0.212
Te  0.129  0.588  0.917
Te  0.171  0.212  0.583
Te  0.171  0.460  0.588
Te  0.212  0.129  0.040
Te  0.212  0.583  0.171
Te  0.288  0.329  0.917
Te  0.288  0.460  0.371
Te  0.329  0.912  0.040
Te  0.329  0.917  0.288
Te  0.371  0.288  0.460
Te  0.371  0.583  0.912
Te  0.412  0.083  0.871
Te  0.412  0.829  0.540
Te  0.417  0.088  0.629
Te  0.417  0.829  0.788
Te  0.460  0.371  0.288
Te  0.460  0.588  0.171
Te  0.540  0.412  0.829
Te  0.540  0.629  0.712
Te  0.583  0.171  0.212
Te  0.583  0.912  0.371
Te  0.588  0.171  0.460
Te  0.588  0.917  0.129
Te  0.629  0.417  0.088
Te  0.629  0.712  0.540
Te  0.671  0.083  0.712
Te  0.671  0.088  0.960
Te  0.712  0.540  0.629
Te  0.712  0.671  0.083
Te  0.788  0.417  0.829
Te  0.788  0.871  0.960
Te  0.829  0.540  0.412
Te  0.829  0.788  0.417
Te  0.871  0.412  0.083
Te  0.871  0.960  0.788
Te  0.912  0.040  0.329
Te  0.912  0.371  0.583
Te  0.917  0.129  0.588
Te  0.917  0.288  0.329
Te  0.960  0.671  0.088
Te  0.960  0.788  0.871
As  0.000  0.000  0.000
As  0.000  0.000  0.500
As  0.000  0.500  0.000
As  0.000  0.500  0.500
As  0.125  0.750  0.875
As  0.125  0.875  0.250
As  0.250  0.125  0.875
As  0.250  0.625  0.375
As  0.375  0.250  0.625
As  0.375  0.625  0.750
As  0.500  0.000  0.000
As  0.500  0.000  0.500
As  0.500  0.500  0.000
As  0.500  0.500  0.500
As  0.625  0.375  0.250
As  0.625  0.750  0.375
As  0.750  0.375  0.625
As  0.750  0.875  0.125
As  0.875  0.125  0.750
As  0.875  0.250  0.125



[3]
## Tc2HgCl (GGA-PBE)

Data for a geometry-optimized Tc2HgCl structure.

Crystal system: monoclinic
Relative energy among the computed polymorphs, meV/atom: 698
E_tot, eV per atom: -4.96
Symmetry: C2/m
ρ, g/cm3: 10.60

a b c (Å): 4.372 4.372 5.737
angles (deg): 100.13 100.13 38.92
Atoms (fractional coordinates):
Tc  0.247  0.247  0.193
Tc  0.753  0.753  0.807
Hg  0.000  0.000  0.500
Cl  0.500  0.500  0.000